[1]
This record from Alexandria describes a relaxed structure of Al4FeGe2. The functional is GGA-PBE.

Unit cell a=4.532 b=4.532 c=13.129 alpha=90.00 beta=90.00 gamma=90.00
Fractional coordinates of all 14 atoms:
1 Al 0.000 0.000 0.175
2 Al 0.000 0.000 0.825
3 Al 0.000 0.500 0.000
4 Al 0.000 0.500 0.500
5 Al 0.500 0.000 0.000
6 Al 0.500 0.000 0.500
7 Al 0.500 0.500 0.325
8 Al 0.500 0.500 0.675
9 Fe 0.000 0.000 0.000
10 Fe 0.500 0.500 0.500
11 Ge 0.000 0.000 0.366
12 Ge 0.000 0.000 0.634
13 Ge 0.500 0.500 0.134
14 Ge 0.500 0.500 0.866

Values from the calculation:
Energy of formation from the pure elements = 0.317 eV per atom
SG = I4/mmm, No. 139

=====

[2]
This record from Alexandria describes a relaxed structure of Sr2CaSnSe4. The functional is GGA-PBE.

Unit cell a=7.547 b=4.359 c=7.588 alpha=90.00 beta=109.42 gamma=90.00
Fractional coordinates of all 8 atoms:
1 Sr 0.000 0.000 0.000
2 Sr 0.000 0.500 0.500
3 Ca 0.500 0.000 0.500
4 Sn 0.500 0.500 0.000
5 Se 0.258 0.000 0.748
6 Se 0.261 0.500 0.257
7 Se 0.739 0.500 0.743
8 Se 0.742 0.000 0.252

Values from the calculation:
SG = P2/m, No. 10
Raw formation energy = -13.01 eV/f.u.

=====

[3]
This record from Alexandria describes a relaxed structure of PmNdGaCu. The functional is GGA-PBE.

Unit cell a=4.494 b=3.723 c=11.717 alpha=90.00 beta=90.00 gamma=90.00
Fractional coordinates of all 8 atoms:
1 Pm 0.000 0.000 0.000
2 Pm 0.000 0.500 0.500
3 Nd 0.500 0.000 0.295
4 Nd 0.500 0.500 0.795
5 Ga 0.000 0.000 0.712
6 Ga 0.000 0.500 0.212
7 Cu 0.500 0.000 0.581
8 Cu 0.500 0.500 0.081

Values from the calculation:
Energy of formation from the pure elements = -0.349 eV per atom
SG = Amm2, No. 38

=====

[4]
This record from Alexandria describes a relaxed structure of BaRu2. The functional is GGA-PBE.

Unit cell a=3.024 b=3.783 c=11.775 alpha=90.00 beta=90.00 gamma=90.00
Fractional coordinates of all 6 atoms:
1 Ba 0.000 0.000 0.000
2 Ba 0.500 0.500 0.500
3 Ru 0.000 0.000 0.285
4 Ru 0.000 0.000 0.715
5 Ru 0.500 0.500 0.215
6 Ru 0.500 0.500 0.785

Values from the calculation:
Energy of formation from the pure elements = 0.555 eV per atom
SG = Immm, No. 71

=====

Magnetization across the listed records, respectively: 0.00, 0.00, 0.00, 0.00 μB/f.u..